DyGa7Fe5 GGA-PBE optimized geometry; magnetic moment = 9.5 μB/cell; energy = -72.0 eV/cell; density of states at the Fermi level = 7.935 states/eV/f.u.; energy relative to the elements = -297 meV per atom
1.0
-2.5290 4.3366 4.3188
2.5290 -4.3366 4.3188
2.5290 4.3366 -4.3188
Dy Ga Fe
1 7 5
Direct
0.0000 0.0000 0.0000
0.2005 0.4975 0.7030
0.2341 0.7341 0.5000
0.3437 0.3437 0.0000
0.3523 0.0129 0.3394
0.6692 0.6692 0.0000
0.6735 0.0129 0.6606
0.7945 0.4975 0.2970
0.0060 0.0013 0.4969
0.0060 0.5091 0.0046
0.5044 0.0013 0.9954
0.5044 0.5091 0.5031
0.7636 0.2636 0.5000

=====

NaLiGa2Cu GGA-PBE optimized geometry; magnetic moment = 0.0 μB/cell; energy = -13.5 eV/cell; density of states at the Fermi level = 1.921 states/eV/f.u.; energy relative to the elements = -19 meV per atom
1.0
4.6465 0.0000 0.0000
0.0000 4.6465 0.0000
0.0000 0.0000 4.8725
Na Li Ga Cu
1 1 2 1
Direct
0.0000 0.0000 0.0000
0.5000 0.5000 0.0000
0.0000 0.5000 0.5000
0.5000 0.0000 0.5000
0.5000 0.5000 0.5000

=====

Copy entry 1 word for word.
DyGa7Fe5 GGA-PBE optimized geometry; magnetic moment = 9.5 μB/cell; energy = -72.0 eV/cell; density of states at the Fermi level = 7.935 states/eV/f.u.; energy relative to the elements = -297 meV per atom
1.0
-2.5290 4.3366 4.3188
2.5290 -4.3366 4.3188
2.5290 4.3366 -4.3188
Dy Ga Fe
1 7 5
Direct
0.0000 0.0000 0.0000
0.2005 0.4975 0.7030
0.2341 0.7341 0.5000
0.3437 0.3437 0.0000
0.3523 0.0129 0.3394
0.6692 0.6692 0.0000
0.6735 0.0129 0.6606
0.7945 0.4975 0.2970
0.0060 0.0013 0.4969
0.0060 0.5091 0.0046
0.5044 0.0013 0.9954
0.5044 0.5091 0.5031
0.7636 0.2636 0.5000

=====

> The highest energy relative to the elements belongs to which entry?

NaLiGa2Cu

=====

> What is the energy in the second record?

-13.5 eV/cell

=====

> Which value of energy does entry 1 give?

-72.0 eV/cell